The following is a GGA-PBEsol calculation of a relaxed structure of La2Al, from Alexandria via LeMat-Bulk.

a = 4.406 Å, b = 5.091 Å, c = 8.420 Å
α = 90.00°, β = 105.17°, γ = 90.00°
Sites, in units of the cell vectors:
La 0.771 0.750 0.542
La 0.229 0.250 0.458
La 0.071 0.750 0.143
La 0.929 0.250 0.857
Al 0.414 0.750 0.827
Al 0.586 0.250 0.173

Output
SG = Cmcm, No. 63
Fermi-level density of states = 0.89 states/eV per atom
formation energy from the elements = -201 meV per atom
calculated total energy = -5.1285 eV/atom

=====

The following is a GGA-PBEsol calculation of a relaxed structure of LaCoPt2, from Alexandria via LeMat-Bulk.

a = 4.078 Å, b = 4.078 Å, c = 5.083 Å
α = 113.65°, β = 113.65°, γ = 90.00°
Site moments in Bohr magnetons follow the coordinates.
Sites, in units of the cell vectors:
Pt 0.750 0.250 0.500  0.13
Pt 0.250 0.750 0.500  0.13
Co 0.500 0.500 0.000  1.52
La 0.000 0.000 0.000  -0.08

Output
SG = I4/mmm, No. 139
Fermi-level density of states = 0.95 states/eV per atom
formation energy from the elements = -314 meV per atom
calculated total energy = -7.0666 eV/atom

=====

The following is a GGA-PBEsol calculation of a relaxed structure of Sc2SiNi, from Alexandria via LeMat-Bulk.

a = 3.074 Å, b = 3.853 Å, c = 6.636 Å
α = 99.52°, β = 90.00°, γ = 113.51°
Sites, in units of the cell vectors:
Si 0.000 0.000 0.500
Ni 0.500 0.000 0.000
Sc 0.250 0.499 0.236
Sc 0.750 0.501 0.764

Output
SG = C2/m, No. 12
Fermi-level density of states = 0.70 states/eV per atom
calculated total energy = -6.5530 eV/atom

=====

The following is a GGA-PBEsol calculation of a relaxed structure of Sr2Li2Ca, from Alexandria via LeMat-Bulk.

a = 4.481 Å, b = 9.183 Å, c = 9.183 Å
α = 90.00°, β = 90.00°, γ = 90.00°
Sites, in units of the cell vectors:
Sr 0.500 0.826 0.326
Sr 0.500 0.674 0.826
Sr 0.500 0.174 0.674
Sr 0.500 0.326 0.174
Ca 0.000 0.500 0.500
Ca 0.000 0.000 0.000
Li 0.000 0.380 0.880
Li 0.000 0.620 0.120
Li 0.000 0.120 0.380
Li 0.000 0.880 0.620

Output
SG = P4/mbm, No. 127
Fermi-level density of states = 0.81 states/eV per atom
formation energy from the elements = 22 meV per atom
calculated total energy = -1.9279 eV/atom

=====

The following is a GGA-PBEsol calculation of a relaxed structure of Ba2Ag, from Alexandria via LeMat-Bulk.

a = 4.466 Å, b = 7.746 Å, c = 8.230 Å
α = 74.57°, β = 74.26°, γ = 73.25°
Sites, in units of the cell vectors:
Ba 0.825 0.767 0.583
Ba 0.418 0.280 0.884
Ba 0.175 0.233 0.417
Ba 0.582 0.720 0.116
Ag 0.111 0.950 0.827
Ag 0.889 0.050 0.173

Output
SG = C2/m, No. 12
Fermi-level density of states = 1.12 states/eV per atom
formation energy from the elements = -135 meV per atom
calculated total energy = -2.6716 eV/atom

=====

The following is a GGA-PBEsol calculation of a relaxed structure of Y2CdAg, from Alexandria via LeMat-Bulk.

a = 3.620 Å, b = 3.620 Å, c = 7.295 Å
α = 90.00°, β = 90.00°, γ = 90.00°
Sites, in units of the cell vectors:
Y 0.000 0.000 0.760
Y 0.000 0.000 0.240
Ag 0.500 0.500 0.000
Cd 0.500 0.500 0.500

Output
SG = P4/mmm, No. 123
Fermi-level density of states = 0.77 states/eV per atom
formation energy from the elements = -357 meV per atom
calculated total energy = -4.8952 eV/atom

=====

The following is a GGA-PBEsol calculation of a relaxed structure of TaPRh, from Alexandria via LeMat-Bulk.

a = 3.741 Å, b = 6.237 Å, c = 7.123 Å
α = 90.00°, β = 90.00°, γ = 90.00°
Sites, in units of the cell vectors:
Rh 0.250 0.352 0.937
Rh 0.750 0.148 0.437
Rh 0.750 0.648 0.063
Rh 0.250 0.852 0.563
Ta 0.250 0.470 0.332
Ta 0.250 0.970 0.168
Ta 0.750 0.530 0.668
Ta 0.750 0.030 0.832
P 0.250 0.737 0.874
P 0.250 0.237 0.626
P 0.750 0.263 0.126
P 0.750 0.763 0.374

Output
SG = Pnma, No. 62
Fermi-level density of states = 0.58 states/eV per atom
formation energy from the elements = -874 meV per atom
calculated total energy = -9.7013 eV/atom

=====

The following is a GGA-PBEsol calculation of a relaxed structure of MnSbTe2, from Alexandria via LeMat-Bulk.

a = 3.513 Å, b = 3.513 Å, c = 9.028 Å
α = 78.78°, β = 78.78°, γ = 60.00°
Site moments in Bohr magnetons follow the coordinates.
Sites, in units of the cell vectors:
Sb 0.000 0.000 0.000  -0.03
Mn 0.500 0.500 0.500  2.52
Te 0.771 0.771 0.686  -0.08
Te 0.229 0.229 0.314  -0.08

Output
SG = R-3m, No. 166
Fermi-level density of states = 0.62 states/eV per atom
calculated total energy = -5.3141 eV/atom

=====

The following is a GGA-PBEsol calculation of a relaxed structure of LaMg2Ir, from Alexandria via LeMat-Bulk.

a = 3.290 Å, b = 3.290 Å, c = 8.279 Å
α = 90.00°, β = 90.00°, γ = 90.00°
Sites, in units of the cell vectors:
Mg 0.000 0.000 0.038
Mg 0.500 0.500 0.299
Ir 0.000 0.000 0.470
La 0.500 0.500 0.693

Output
SG = P4mm, No. 99
Fermi-level density of states = 0.66 states/eV per atom
formation energy from the elements = -248 meV per atom
calculated total energy = -4.8995 eV/atom

=====

The following is a GGA-PBEsol calculation of a relaxed structure of Tc2NiBr, from Alexandria via LeMat-Bulk.

a = 4.307 Å, b = 4.307 Å, c = 4.307 Å
α = 60.00°, β = 60.00°, γ = 60.00°
Sites, in units of the cell vectors:
Ni 0.250 0.250 0.250
Br 0.500 0.500 0.500
Tc 0.750 0.750 0.750
Tc 0.000 0.000 0.000

Output
SG = F-43m, No. 216
Fermi-level density of states = 1.01 states/eV per atom
calculated total energy = -6.7615 eV/atom

=====

The following is a GGA-PBEsol calculation of a relaxed structure of Sb4O5F2, from Alexandria via LeMat-Bulk.

a = 5.163 Å, b = 5.665 Å, c = 13.394 Å
α = 95.40°, β = 90.00°, γ = 90.00°
Sites, in units of the cell vectors:
O 0.986 0.926 0.083
O 0.687 0.902 0.794
O 0.813 0.902 0.294
O 0.486 0.074 0.417
O 0.000 0.000 0.500
O 0.313 0.098 0.206
O 0.514 0.926 0.583
O 0.500 0.000 0.000
O 0.014 0.074 0.917
O 0.187 0.098 0.706
Sb 0.723 0.800 0.445
Sb 0.916 0.244 0.797
Sb 0.277 0.200 0.555
Sb 0.223 0.200 0.055
Sb 0.777 0.800 0.945
Sb 0.084 0.756 0.203
Sb 0.416 0.756 0.703
Sb 0.584 0.244 0.297
F 0.199 0.473 0.863
F 0.301 0.473 0.363
F 0.801 0.527 0.137
F 0.699 0.527 0.637

Output
SG = P2_1/c, No. 14
Fermi-level density of states = 0.00 states/eV per atom
calculated total energy = -5.9535 eV/atom

=====

The following is a GGA-PBEsol calculation of a relaxed structure of HPdSe2, from Alexandria via LeMat-Bulk.

a = 3.829 Å, b = 3.829 Å, c = 6.395 Å
α = 72.58°, β = 72.58°, γ = 60.00°
Sites, in units of the cell vectors:
H 0.000 0.000 0.000
Se 0.902 0.902 0.294
Se 0.098 0.098 0.706
Pd 0.500 0.500 0.500

Output
SG = R-3m, No. 166
Fermi-level density of states = 0.37 states/eV per atom
calculated total energy = -4.3572 eV/atom